# 1
First-principles (PBE) data for an optimized crystal structure of LiCuAg5, as listed in the Alexandria database.

Results
ΔH_f (0 K): 0.241 eV per atom
Energy: -2.654 eV/atom
Space-group type: C2/c, No. 15
Total moment: 0.000 μB/atom

a = 6.6595 Å, b = 6.6595 Å, c = 7.4647 Å
α = 65.64°, β = 65.64°, γ = 84.91°
Last column: nearest neighbours and their distance in Å.
Sites, in units of the cell vectors:
1 Ag 0.8087 0.1913 0.2500  1 Li 2.47, 2 Cu 2.54
2 Ag 0.7868 0.6175 0.8308  2 Li 2.61-2.64, 1 Cu 2.68, 3 Ag 2.81-2.83
3 Cu 0.0000 0.0000 0.5000  6 Ag 2.54-2.77
4 Li 0.5342 0.4658 0.2500  7 Ag 2.47-2.68
5 Ag 0.3825 0.2132 0.6692  2 Li 2.61-2.64, 1 Cu 2.68, 3 Ag 2.81-2.83
6 Ag 0.2132 0.3825 0.1692  2 Li 2.61-2.64, 1 Cu 2.68, 3 Ag 2.81-2.83
7 Ag 0.6175 0.7868 0.3308  2 Li 2.61-2.64, 1 Cu 2.68, 3 Ag 2.81-2.83
8 Ag 0.8218 0.3872 0.5169  1 Li 2.68, 1 Cu 2.77, 6 Ag 2.79-2.95
9 Ag 0.3872 0.8218 0.0169  1 Li 2.68, 1 Cu 2.77, 6 Ag 2.79-2.95
10 Ag 0.6128 0.1782 0.9831  1 Li 2.68, 1 Cu 2.77, 6 Ag 2.79-2.95
11 Cu 0.0000 0.0000 0.0000  6 Ag 2.54-2.77
12 Li 0.4658 0.5342 0.7500  7 Ag 2.47-2.68
13 Ag 0.1913 0.8087 0.7500  1 Li 2.47, 2 Cu 2.54
14 Ag 0.1782 0.6128 0.4831  1 Li 2.68, 1 Cu 2.77, 6 Ag 2.79-2.95

=====

# 2
First-principles (PBE) data for an optimized crystal structure of Li3HPd, as listed in the Alexandria database.

Results
E above lowest polymorph: 0.0 kJ/mol of atoms
Energy: -3.188 eV/atom
Space-group type: Cmcm, No. 63
Total moment: 0.000 μB/atom

a = 4.9491 Å, b = 4.9485 Å, c = 5.3766 Å
α = 90.00°, β = 90.00°, γ = 66.24°
Last column: nearest neighbours and their distance in Å.
Sites, in units of the cell vectors:
1 Li 0.5274 0.2356 0.8024  2 H 1.93
2 Li 0.5403 0.7427 0.0524  1 H 2.23
3 H 0.8095 0.0120 0.0524  1 Pd 1.79, 4 Li 1.93
4 Li 0.0332 0.7301 0.3024  2 H 1.93
5 Li 0.0332 0.7301 0.8024  2 H 1.93
6 Pd 0.5350 0.7377 0.5524  1 H 1.79
7 H 0.7511 0.9536 0.5524  1 Pd 1.79, 4 Li 1.93
8 Li 0.0203 0.2230 0.5524  1 H 2.23
9 Li 0.5274 0.2356 0.3024  2 H 1.93
10 Pd 0.0256 0.2280 0.0524  1 H 1.79